Record 1
First-principles (PBE) data for a relaxed structure of NpUGe2, as listed in Alexandria via LeMat-Bulk.

Computed properties:
The space group is P4/mmm. The density comes out at 12.3 g/cm3. The excess energy over the best structure of this formula in the dataset is 0.0 meV per atom. The calculation puts the formation energy at -0.247 eV per atom.

Unit cell a=3.881 b=3.881 c=5.560 alpha=90.00 beta=90.00 gamma=90.00
Element x y z (fractional)
Np 0.000 0.000 0.000
U 0.000 0.000 0.500
Ge 0.500 0.500 0.250
Ge 0.500 0.500 0.750


Record 2
First-principles (PBE) data for a relaxed structure of SmAl6Cu6, as listed in Alexandria via LeMat-Bulk.

Computed properties:
The space group is Immm. The density comes out at 6.0 g/cm3. The calculation puts the formation energy at -0.359 eV per atom.

Unit cell a=6.656 b=6.656 c=6.656 alpha=134.86 beta=99.20 gamma=97.75
Element x y z (fractional)
Sm 0.000 0.000 0.000
Al 0.204 0.704 0.500
Al 0.347 0.000 0.347
Al 0.350 0.350 0.000
Al 0.650 0.650 0.000
Al 0.653 0.000 0.653
Al 0.796 0.296 0.500
Cu 0.000 0.000 0.500
Cu 0.000 0.500 0.000
Cu 0.232 0.500 0.732
Cu 0.500 0.000 0.000
Cu 0.500 0.500 0.500
Cu 0.768 0.500 0.268


Record 3
First-principles (PBE) data for a relaxed structure of Ac8GaIr3Cl4, as listed in Alexandria via LeMat-Bulk.

Computed properties:
The space group is C2/m. The density comes out at 8.1 g/cm3. The uncorrected formation energy comes out at -1826.8 kJ/mol of formula units.

Unit cell a=8.865 b=8.865 c=9.377 alpha=118.27 beta=118.27 gamma=60.02
Element x y z (fractional)
Ac 0.219 0.743 0.704
Ac 0.236 0.236 0.707
Ac 0.257 0.257 0.296
Ac 0.257 0.781 0.296
Ac 0.743 0.219 0.704
Ac 0.743 0.743 0.704
Ac 0.764 0.764 0.293
Ac 0.781 0.257 0.296
Ga 0.500 0.500 0.500
Ir 0.000 0.000 0.500
Ir 0.000 0.500 0.500
Ir 0.500 0.000 0.500
Cl 0.000 0.000 0.000
Cl 0.000 0.500 0.000
Cl 0.500 0.000 0.000
Cl 0.500 0.500 0.000


Record 4
First-principles (PBE) data for a relaxed structure of Cs2SrTlBr6, as listed in Alexandria via LeMat-Bulk.

Computed properties:
The space group is Pmmn. The density comes out at 4.0 g/cm3. The uncorrected formation energy comes out at -1446.3 kJ/mol of formula units.

Unit cell a=8.424 b=11.970 c=8.531 alpha=90.00 beta=90.00 gamma=90.00
Element x y z (fractional)
Cs 0.250 0.015 0.224
Cs 0.250 0.485 0.224
Cs 0.750 0.515 0.776
Cs 0.750 0.985 0.776
Sr 0.250 0.250 0.737
Sr 0.750 0.750 0.263
Tl 0.250 0.750 0.758
Tl 0.750 0.250 0.242
Br 0.006 0.750 0.016
Br 0.015 0.250 0.470
Br 0.250 0.501 0.767
Br 0.250 0.999 0.767
Br 0.485 0.250 0.470
Br 0.494 0.750 0.016
Br 0.506 0.250 0.984
Br 0.515 0.750 0.530
Br 0.750 0.001 0.233
Br 0.750 0.499 0.233
Br 0.985 0.750 0.530
Br 0.994 0.250 0.984


Record 5
First-principles (PBE) data for a relaxed structure of LiRu3S, as listed in Alexandria via LeMat-Bulk.

Computed properties:
The space group is Pm-3m. The density comes out at 8.1 g/cm3. The excess energy over the best structure of this formula in the dataset is 1002.9 meV per atom. The uncorrected formation energy comes out at 672.0 kJ/mol of formula units.

Unit cell a=4.125 b=4.125 c=4.125 alpha=90.00 beta=90.00 gamma=90.00
Element x y z (fractional)
Li 0.000 0.000 0.000
Ru 0.000 0.000 0.500
Ru 0.000 0.500 0.000
Ru 0.500 0.000 0.000
S 0.500 0.500 0.500


Record 6
First-principles (PBE) data for a relaxed structure of Cs3Rb2Hg9, as listed in Alexandria via LeMat-Bulk.

Computed properties:
The space group is Immm. The density comes out at 6.8 g/cm3. The calculation puts the formation energy at -0.236 eV per atom.

Unit cell a=10.973 b=10.973 c=10.973 alpha=151.85 beta=109.87 gamma=77.20
Element x y z (fractional)
Cs 0.000 0.000 0.000
Cs 0.300 0.300 0.000
Cs 0.700 0.700 0.000
Rb 0.295 0.500 0.795
Rb 0.705 0.500 0.205
Hg 0.039 0.670 0.368
Hg 0.110 0.843 0.267
Hg 0.302 0.670 0.632
Hg 0.424 0.157 0.267
Hg 0.500 0.000 0.500
Hg 0.576 0.843 0.733
Hg 0.698 0.330 0.368
Hg 0.890 0.157 0.733
Hg 0.961 0.330 0.632


Record 7
First-principles (PBE) data for a relaxed structure of CePmTl, as listed in Alexandria via LeMat-Bulk.

Computed properties:
The space group is P-6m2. The density comes out at 9.7 g/cm3. The excess energy over the best structure of this formula in the dataset is 201.8 meV per atom. The calculation puts the formation energy at -0.006 eV per atom.

Unit cell a=5.403 b=5.403 c=3.313 alpha=90.00 beta=90.00 gamma=120.00
Element x y z (fractional)
Ce 0.000 0.000 0.000
Pm 0.333 0.667 0.000
Tl 0.667 0.333 0.500


Record 8
First-principles (PBE) data for a relaxed structure of SrY2H, as listed in Alexandria via LeMat-Bulk.

Computed properties:
The space group is R-3m. The density comes out at 3.9 g/cm3. The excess energy over the best structure of this formula in the dataset is 119.7 meV per atom.

Unit cell a=10.015 b=10.015 c=10.015 alpha=21.03 beta=21.03 gamma=21.03
Element x y z (fractional)
Sr 0.000 0.000 0.000
Y 0.122 0.122 0.122
Y 0.878 0.878 0.878
H 0.500 0.500 0.500


Record 9
First-principles (PBE) data for a relaxed structure of CaTaMo2, as listed in Alexandria via LeMat-Bulk.

Computed properties:
The space group is Cm. The density comes out at 9.1 g/cm3. The excess energy over the best structure of this formula in the dataset is 228.7 meV per atom. The calculation puts the formation energy at 0.656 eV per atom.

Unit cell a=5.128 b=5.128 c=5.661 alpha=92.06 beta=92.06 gamma=30.60
Element x y z (fractional)
Ca 0.000 0.000 0.000
Ta 0.257 0.257 0.276
Mo 0.512 0.512 0.506
Mo 0.743 0.743 0.737


Record 10
First-principles (PBE) data for a relaxed structure of KHf3Hg, as listed in Alexandria via LeMat-Bulk.

Computed properties:
The space group is Pm-3m. The density comes out at 8.2 g/cm3. The excess energy over the best structure of this formula in the dataset is 0.0 meV per atom. The calculation puts the formation energy at 1.305 eV per atom.

Unit cell a=5.393 b=5.393 c=5.393 alpha=90.00 beta=90.00 gamma=90.00
Element x y z (fractional)
K 0.000 0.000 0.000
Hf 0.000 0.500 0.500
Hf 0.500 0.000 0.500
Hf 0.500 0.500 0.000
Hg 0.500 0.500 0.500


Record 11
First-principles (PBE) data for a relaxed structure of MnMo2W, as listed in Alexandria via LeMat-Bulk.

Computed properties:
The space group is P4mm. The density comes out at 12.0 g/cm3. The excess energy over the best structure of this formula in the dataset is 36.3 meV per atom. The calculation puts the formation energy at 0.091 eV per atom.

Unit cell a=3.125 b=3.125 c=6.125 alpha=90.00 beta=90.00 gamma=90.00
Element x y z (fractional)
Mn 0.000 0.000 0.000
Mo 0.000 0.000 0.500
Mo 0.500 0.500 0.246
W 0.500 0.500 0.760


Record 12
First-principles (PBE) data for a relaxed structure of CaPr3Y4, as listed in Alexandria via LeMat-Bulk.

Computed properties:
The space group is Cmmm. The density comes out at 4.8 g/cm3. The calculation puts the formation energy at 0.222 eV per atom.

Unit cell a=13.674 b=13.674 c=3.649 alpha=90.00 beta=90.00 gamma=155.46
Element x y z (fractional)
Ca 0.000 0.000 0.000
Pr 0.346 0.654 0.000
Pr 0.500 0.500 0.500
Pr 0.654 0.346 0.000
Y 0.105 0.895 0.500
Y 0.224 0.776 0.500
Y 0.776 0.224 0.500
Y 0.895 0.105 0.500


| no. | D(E_F) (states/eV/f.u.) |
| --- | --- |
| 1 | 7.6 |
| 2 | 3.1 |
| 3 | 11.2 |
| 4 | 5.1 |
| 5 | 6.7 |
| 6 | 9.4 |
| 7 | 6.6 |
| 8 | 5.8 |
| 9 | 3.8 |
| 10 | 7.7 |
| 11 | 3.2 |
| 12 | 12.7 |